No. 1
DFT (PBE) results for a relaxed structure of NaGeP2Ir4.

DOS(E_F) = 0.5523 states/eV/atom
electronic total energy = -6.968 eV per atom
SG = P4/mmm (123)

Cell: 4.065 4.065 7.708 Å, 90.00 90.00 90.00°
Fractional positions:
P  0.500  0.500  0.654
Ge  0.000  0.000  0.000
Ir  0.500  0.000  0.202
Na  0.000  0.000  0.500
P  0.500  0.500  0.346
Ir  0.000  0.500  0.202
Ir  0.500  0.000  0.798
Ir  0.000  0.500  0.798

No. 2
DFT (PBE) results for a relaxed structure of HfCrReI2.

DOS(E_F) = 0.9690 states/eV/atom
raw formation energy = 6.72 eV/f.u.
SG = P4/mmm (123)

Cell: 5.436 5.037 5.436 Å, 90.00 90.00 90.00°
Last column: magnetic moment on the atom in μB.
Fractional positions:
Re  0.000  0.000  0.000  0.06
I  0.000  0.000  0.500  0.00
I  0.500  0.000  0.000  -0.01
Hf  0.000  0.500  0.000  -0.13
Cr  0.500  0.500  0.500  4.24

No. 3
DFT (PBE) results for a relaxed structure of Sr2ZnSe.

DOS(E_F) = 0.5939 states/eV/atom
raw formation energy = -3.82 eV/f.u.
SG = R-3m (166)

Cell: 4.369 4.369 8.481 Å, 75.09 75.09 59.99°
Last column: magnetic moment on the atom in μB.
Fractional positions:
Zn  0.750  0.750  0.750  0.08
Se  0.250  0.250  0.250  0.01
Sr  0.992  0.992  0.023  0.06
Sr  0.508  0.508  0.477  0.06

No. 4
DFT (PBE) results for a relaxed structure of ErAlGa2Se6.

raw formation energy = -8.63 eV/f.u.
SG = C2/c (15)

Cell: 7.023 9.049 9.049 Å, 85.99 75.98 75.98°
Fractional positions:
Ga  0.211  0.403  0.261
Se  0.657  0.811  0.949
Se  0.517  0.462  0.282
Se  0.925  0.370  0.883
Ga  0.289  0.739  0.597
Se  0.017  0.282  0.462
Er  0.250  0.886  0.114
Ga  0.789  0.597  0.739
Se  0.425  0.883  0.370
Se  0.075  0.630  0.117
Er  0.750  0.114  0.886
Se  0.575  0.117  0.630
Se  0.157  0.949  0.811
Al  0.750  0.805  0.195
Se  0.483  0.538  0.718
Ga  0.711  0.261  0.403
Se  0.343  0.189  0.051
Se  0.983  0.718  0.538
Se  0.843  0.051  0.189
Al  0.250  0.195  0.805

No. 5
DFT (PBE) results for a relaxed structure of LiMn2V.

DOS(E_F) = 0.5423 states/eV/atom
electronic total energy = -6.803 eV per atom
SG = I-42d (122)

Cell: 6.499 6.499 5.284 Å, 52.06 52.06 90.00°
Last column: magnetic moment on the atom in μB.
Fractional positions:
Li  0.250  0.750  0.500  -0.02
V  0.750  0.250  0.500  -1.77
Mn  0.875  0.876  0.750  2.89
Mn  0.124  0.625  0.250  2.89
V  0.000  0.000  0.000  -1.77
Mn  0.626  0.125  0.250  2.89
Mn  0.375  0.374  0.750  2.89
Li  0.500  0.500  0.000  -0.02

No. 6
DFT (PBE) results for a relaxed structure of Ac2TmOs2N6.

DOS(E_F) = 0.5705 states/eV/atom
raw formation energy = -6.16 eV/f.u.
SG = R-3m (166)

Cell: 5.858 5.858 6.970 Å, 65.15 65.15 60.00°
Fractional positions:
Os  0.397  0.397  0.808
N  0.769  0.254  0.722
N  0.746  0.746  0.278
Os  0.603  0.603  0.192
Ac  0.788  0.788  0.637
N  0.231  0.746  0.278
N  0.254  0.769  0.722
N  0.254  0.254  0.722
Ac  0.212  0.212  0.363
N  0.746  0.231  0.278
Tm  0.000  0.000  0.000